Crystalline TbCu4Pd at its relaxed geometry, computed with PBE.

abc: 5.0115 5.0115 5.0115
angles: 60.00 60.00 60.00
Fractional positions:
Tb 0.2500 0.2500 0.2500
Cu 0.1223 0.6259 0.6259
Cu 0.6259 0.6259 0.1223
Cu 0.6259 0.1223 0.6259
Cu 0.6259 0.6259 0.6259
Pd 0.0000 0.0000 0.0000

Values from the calculation:
SG: F-43m
Energy, eV/f.u.: -28.3

Crystalline Tb3Cu2Pd at its relaxed geometry, computed with PBE.

abc: 4.9528 4.9528 6.0609
angles: 90.00 90.00 120.00
Fractional positions:
Tb 0.3333 0.6667 0.1660
Tb 0.6667 0.3333 0.8340
Tb 0.0000 0.0000 0.5000
Pd 0.0000 0.0000 0.0000
Cu 0.6667 0.3333 0.3449
Cu 0.3333 0.6667 0.6551

Values from the calculation:
Polymorph energy (0 for the lowest one), eV/atom: 0.000
SG: P-3m1
Energy, eV/f.u.: -30.0

Total moment readings, ordered: 0.0 0.0 μB per cell
Calculated formation energy readings, ordered: -2.1 -2.7 eV/f.u.